A geometry-optimized Pm2ScPd structure, computed with PBE.

volume	27.35	Å³/atom
crystal system	trigonal
magnetic moment	0.000	μB per cell
DFT total energy	-5.155	eV/atom
calculated formation energy	0.10	eV/atom
relative energy among the computed polymorphs	430.3	meV/atom

Cell: 3.389 3.389 11.172 Å, 81.28 81.28 60.00°
Element x y z (fractional)
1 Pd 0.000 0.000 0.000
2 Sc 0.500 0.500 0.500
3 Pm 0.918 0.918 0.245
4 Pm 0.082 0.082 0.755